Entry 1:
Entry from Alexandria: a geometry-optimized DyEr2Sc structure (GGA-PBE).

Lattice parameters (Å, degrees): 11.391 11.391 11.391 17.50 17.50 17.50
Fractional positions:
Dy: 0.000 0.000 0.000
Er: 0.247 0.247 0.247
Er: 0.753 0.753 0.753
Sc: 0.500 0.500 0.500

Computed properties:
total magnetic moment = 0.00 μB/f.u.
ΔH_f (0 K) = 0.044 eV/atom
V = 29.177 Å³ per atom
Fermi-level density of states = 6.41 states/eV/cell


Entry 2:
Entry from Alexandria: a geometry-optimized Li2GaSi structure (GGA-PBE).

Lattice parameters (Å, degrees): 5.771 5.771 5.771 101.92 101.92 125.93
Fractional positions:
Li: 0.116 0.125 0.491
Li: 0.375 0.884 0.009
Li: 0.634 0.625 0.509
Li: 0.875 0.366 0.991
Ga: 0.250 0.750 0.500
Ga: 0.500 0.500 0.000
Si: 0.000 0.000 0.000
Si: 0.750 0.250 0.500

Computed properties:
total magnetic moment = 0.00 μB/f.u.
V = 17.327 Å³ per atom
Fermi-level density of states = 2.65 states/eV/cell
E_form (uncorrected) = 0.110 eV per atom


Entry 3:
Entry from Alexandria: a geometry-optimized RbPbO3 structure (GGA-PBE).

Lattice parameters (Å, degrees): 4.354 4.354 4.354 90.00 90.00 90.00
Fractional positions:
Rb: 0.000 0.000 0.000
Pb: 0.500 0.500 0.500
O: 0.000 0.000 0.500
O: 0.000 0.500 0.000
O: 0.500 0.000 0.000

Computed properties:
total magnetic moment = 0.00 μB/f.u.
V = 16.513 Å³ per atom
Fermi-level density of states = 1.86 states/eV/cell
E_form (uncorrected) = 0.455 eV per atom


Entry 4:
Entry from Alexandria: a geometry-optimized Cr2InAu structure (GGA-PBE).

Lattice parameters (Å, degrees): 4.616 4.616 4.616 60.00 60.00 60.00
Fractional positions:
Cr: 0.000 0.000 0.000
Cr: 0.250 0.250 0.250
In: 0.500 0.500 0.500
Au: 0.750 0.750 0.750

Computed properties:
total magnetic moment = 0.09 μB/f.u.
ΔH_f (0 K) = 0.228 eV/atom
V = 17.382 Å³ per atom
Fermi-level density of states = 2.36 states/eV/cell


Entry 5:
Entry from Alexandria: a geometry-optimized Y3CdO structure (GGA-PBE).

Lattice parameters (Å, degrees): 6.668 6.668 8.096 107.68 107.68 45.30
Fractional positions:
Y: 0.000 0.000 0.000
Y: 0.000 0.000 0.500
Y: 0.277 0.277 0.383
Y: 0.293 0.293 0.904
Y: 0.707 0.707 0.096
Y: 0.723 0.723 0.617
Cd: 0.491 0.491 0.736
Cd: 0.509 0.509 0.264
O: 0.195 0.195 0.092
O: 0.805 0.805 0.908

Computed properties:
total magnetic moment = 0.00 μB/f.u.
V = 24.166 Å³ per atom
Fermi-level density of states = 8.44 states/eV/cell
E_form (uncorrected) = -1.271 eV per atom


Entry 6:
Entry from Alexandria: a geometry-optimized Y2PdRhC structure (GGA-PBE).

Lattice parameters (Å, degrees): 4.992 4.992 3.843 90.00 90.00 90.00
Fractional positions:
Y: 0.000 0.500 0.000
Y: 0.500 0.000 0.000
Pd: 0.000 0.000 0.500
Rh: 0.500 0.500 0.500
C: 0.500 0.500 0.000

Computed properties:
total magnetic moment = 0.00 μB/f.u.
ΔH_f (0 K) = -0.603 eV/atom
V = 19.155 Å³ per atom
Fermi-level density of states = 2.95 states/eV/cell